1.
Material: TaSi2Se
Method: DFT, PBE
State: relaxed

Geometry as CIF:
```
data_TaSi2Se
_cell_length_a 3.083
_cell_length_b 4.316
_cell_length_c 4.949
_cell_angle_alpha 90.00
_cell_angle_beta 90.00
_cell_angle_gamma 90.00
_symmetry_space_group_name_H-M 'P m m m'
_symmetry_Int_Tables_number 47
loop_
_symmetry_equiv_pos_as_xyz
'x,y,z'
'-x,-y,-z'
'-x,-y,z'
'x,y,-z'
'x,-y,-z'
'-x,y,z'
'-x,y,-z'
'x,-y,z'
loop_
_atom_site_label
_atom_site_fract_x
_atom_site_fract_y
_atom_site_fract_z
Ta1 0.000 0.000 0.000
Si1 0.000 0.500 0.500
Si2 0.500 0.000 0.500
Se1 0.500 0.500 0.000
```

Summary:
V	66	Å³ per cell
formation energy without anion corrections	0.317	eV per atom
crystal system	orthorhombic

2.
Material: DyHI
Method: DFT, PBE
State: relaxed

Geometry as CIF:
```
data_DyHI
_cell_length_a 12.699
_cell_length_b 13.806
_cell_length_c 6.734
_cell_angle_alpha 90.00
_cell_angle_beta 90.00
_cell_angle_gamma 90.00
_symmetry_space_group_name_H-M 'F d d 2'
_symmetry_Int_Tables_number 43
_symmetry_space_group_name_Hall 'F 2 -2d'
loop_
_atom_site_label
_atom_site_fract_x
_atom_site_fract_y
_atom_site_fract_z
Dy1 0.123 0.190 0.000
H1 0.044 0.076 0.818
I1 0.112 0.306 0.610
```

Summary:
V	1181	Å³ per cell
DFT total energy	-3.81	eV/atom
crystal system	orthorhombic

3.
Material: BaYOs2
Method: DFT, PBE
State: relaxed

Geometry as CIF:
```
data_BaYOs2
_cell_length_a 10.127
_cell_length_b 4.269
_cell_length_c 7.223
_cell_angle_alpha 90.00
_cell_angle_beta 122.87
_cell_angle_gamma 90.00
_symmetry_space_group_name_H-M 'C 1 2/m 1'
_symmetry_Int_Tables_number 12
loop_
_symmetry_equiv_pos_as_xyz
'x,y,z'
'-x,-y,-z'
'-x,y,-z'
'x,-y,z'
'x+1/2,y+1/2,z'
'-x+1/2,-y+1/2,-z'
'-x+1/2,y+1/2,-z'
'x+1/2,-y+1/2,z'
loop_
_atom_site_label
_atom_site_fract_x
_atom_site_fract_y
_atom_site_fract_z
Ba1 0.000 0.000 0.000
Y1 0.000 0.500 0.500
Os1 0.241 0.500 0.422
```

Summary:
V	262	Å³ per cell
formation enthalpy at 0 K	337	meV/atom
crystal system	monoclinic

V of number 3 (BaYOs2)? 262 Å³ per cell